Sc2SiPt | PBE | optimized geometry

Geometry as POSCAR:
```
Sc2SiPt
1.0
-0.937 -3.326 -1.311
0.401 -1.698 4.021
-4.221 0.877 0.791
Sc Si Pt
2 1 1
direct
0.000 0.000 0.500
0.000 0.500 0.000
0.500 0.000 0.000
0.500 0.500 0.500
```

- Raw total energy: -0.50919 Ry/atom
- M_tot: 0.000 μB per formula unit